No. 1
RbZn2Ir2 after structural relaxation. Source: Alexandria via LeMat-Bulk, functional PBE.

Properties
- ΔE to the lowest computed polymorph (eV/f.u.) = 0.200
- V (Å³ per cell) = 103
- DOS(E_F) (states/eV/f.u.) = 4.25
- crystal system = tetragonal
- energy relative to the elements (eV/atom) = 0.313
- VASP energy (eV/cell) = -19.7
- SG = I4/mmm, No. 139

Cell and atoms, written as POSCAR:
```
RbZn2Ir2
1.0
-3.449 1.819 -2.464
0.343 -3.458 -3.034
-4.757 -3.400 -0.169
Zn Ir Rb
2 2 1
Direct
0.750 0.250 0.500
0.250 0.750 0.500
0.375 0.375 0.249
0.625 0.625 0.751
0.000 0.000 0.000
```

No. 2
Y9ErSc2 after structural relaxation. Source: Alexandria via LeMat-Bulk, functional PBE.

Properties
- V (Å³ per cell) = 369
- DOS(E_F) (states/eV/f.u.) = 19.13
- crystal system = tetragonal
- energy relative to the elements (eV/atom) = 0.043
- VASP energy (eV/cell) = -74.9
- SG = P4/mmm, No. 123

Cell and atoms, written as POSCAR:
```
Y9ErSc2
1.0
4.979 0.000 0.000
0.000 4.979 0.000
0.000 0.000 14.902
Y Er Sc
9 1 2
Direct
0.500 0.500 0.000
0.500 0.500 0.336
0.500 0.500 0.664
0.500 0.000 0.170
0.500 0.000 0.500
0.500 0.000 0.830
0.000 0.500 0.170
0.000 0.500 0.500
0.000 0.500 0.830
0.000 0.000 0.000
0.000 0.000 0.335
0.000 0.000 0.665
```

No. 3
CrTc2Ag after structural relaxation. Source: Alexandria via LeMat-Bulk, functional PBE.

Properties
- ΔE to the lowest computed polymorph (eV/f.u.) = 0.064
- V (Å³ per cell) = 59
- DOS(E_F) (states/eV/f.u.) = 4.33
- crystal system = orthorhombic
- energy relative to the elements (eV/atom) = 0.320
- VASP energy (eV/cell) = -31.9
- SG = Cmmm, No. 65

Cell and atoms, written as POSCAR:
```
CrTc2Ag
1.0
2.658 -0.010 0.000
-0.936 2.487 0.000
0.000 0.000 8.974
Ag Cr Tc
1 1 2
Direct
0.500 0.500 0.250
0.500 0.500 0.750
0.000 0.000 0.971
0.000 0.000 0.529
```

No. 4
Al2CuP after structural relaxation. Source: Alexandria via LeMat-Bulk, functional PBE.

Properties
- V (Å³ per cell) = 59
- DOS(E_F) (states/eV/f.u.) = 1.04
- crystal system = monoclinic
- energy relative to the elements (eV/atom) = 0.083
- VASP energy (eV/cell) = -16.7
- SG = C2/m, No. 12

Cell and atoms, written as POSCAR:
```
Al2CuP
1.0
-3.961 -0.959 2.013
-2.151 -2.897 2.763
0.625 2.295 4.421
P Al Cu
1 2 1
Direct
0.750 0.750 0.750
0.993 0.993 0.012
0.507 0.507 0.488
0.250 0.250 0.250
```